[1]
ScCu2Re: single point on PBEsol structure, SCAN.

Output
For the distance to the lowest polymorph of the same formula, the calculation gives 0.00 kcal/mol of atoms.

```
data_ScCu2Re
_chemical_formula_sum 'Sc1 Cu2 Re1'
_cell_length_a 2.663
_cell_length_b 4.212
_cell_length_c 5.198
_cell_angle_alpha 90.00
_cell_angle_beta 105.00
_cell_angle_gamma 90.00
_space_group_name_H-M_alt 'P 1'
_space_group_IT_number 1
loop_
_space_group_symop_operation_xyz
'x,y,z'
loop_
_atom_site_label
_atom_site_type_symbol
_atom_site_fract_x
_atom_site_fract_y
_atom_site_fract_z
_atom_site_occupancy
Sc1 Sc 0.000 0.000 0.000 1
Cu1 Cu 0.614 0.500 0.227 1
Cu2 Cu 0.744 0.000 0.486 1
Re1 Re 0.343 0.500 0.684 1
```



[2]
AsOsRuSe2: single point on PBEsol structure, SCAN.

Output
As for the uncorrected formation energy: 1.290 eV/atom.

```
data_AsOsRuSe2
_chemical_formula_sum 'As1 Os1 Ru1 Se2'
_cell_length_a 4.776
_cell_length_b 4.776
_cell_length_c 4.622
_cell_angle_alpha 90.00
_cell_angle_beta 90.00
_cell_angle_gamma 90.00
_space_group_name_H-M_alt 'P 1'
_space_group_IT_number 1
loop_
_space_group_symop_operation_xyz
'x,y,z'
loop_
_atom_site_label
_atom_site_type_symbol
_atom_site_fract_x
_atom_site_fract_y
_atom_site_fract_z
_atom_site_occupancy
As1 As 0.000 0.000 0.000 1
Os1 Os 0.000 0.000 0.500 1
Ru1 Ru 0.500 0.500 0.000 1
Se1 Se 0.000 0.500 0.500 1
Se2 Se 0.500 0.000 0.500 1
```



[3]
CdSn2HgCl: single point on PBEsol structure, SCAN.

Output
As for the uncorrected formation energy: 0.367 eV/atom.

```
data_CdSn2HgCl
_chemical_formula_sum 'Cd1 Sn2 Hg1 Cl1'
_cell_length_a 5.460
_cell_length_b 5.460
_cell_length_c 5.344
_cell_angle_alpha 90.00
_cell_angle_beta 90.00
_cell_angle_gamma 90.00
_space_group_name_H-M_alt 'P 1'
_space_group_IT_number 1
loop_
_space_group_symop_operation_xyz
'x,y,z'
loop_
_atom_site_label
_atom_site_type_symbol
_atom_site_fract_x
_atom_site_fract_y
_atom_site_fract_z
_atom_site_occupancy
Cd1 Cd 0.000 0.000 0.000 1
Sn1 Sn 0.000 0.500 0.500 1
Sn2 Sn 0.500 0.000 0.500 1
Hg1 Hg 0.500 0.500 0.500 1
Cl1 Cl 0.500 0.500 0.000 1
```



[4]
NaTiHg3: single point on PBEsol structure, SCAN.

Output
The calculation puts the total energy at -44.314 eV per atom.

```
data_NaTiHg3
_chemical_formula_sum 'Na1 Ti1 Hg3'
_cell_length_a 5.039
_cell_length_b 5.039
_cell_length_c 5.039
_cell_angle_alpha 90.00
_cell_angle_beta 90.00
_cell_angle_gamma 90.00
_space_group_name_H-M_alt 'P 1'
_space_group_IT_number 1
loop_
_space_group_symop_operation_xyz
'x,y,z'
loop_
_atom_site_label
_atom_site_type_symbol
_atom_site_fract_x
_atom_site_fract_y
_atom_site_fract_z
_atom_site_occupancy
Na1 Na 0.000 0.000 0.000 1
Ti1 Ti 0.500 0.500 0.500 1
Hg1 Hg 0.000 0.000 0.500 1
Hg2 Hg 0.000 0.500 0.000 1
Hg3 Hg 0.500 0.000 0.000 1
```



[5]
ZrCdAg2: single point on PBEsol structure, SCAN.

Output
The calculation puts the total energy at -31.018 eV per atom.

```
data_ZrCdAg2
_chemical_formula_sum 'Zr1 Cd1 Ag2'
_cell_length_a 4.696
_cell_length_b 4.696
_cell_length_c 4.696
_cell_angle_alpha 60.00
_cell_angle_beta 60.00
_cell_angle_gamma 60.00
_space_group_name_H-M_alt 'P 1'
_space_group_IT_number 1
loop_
_space_group_symop_operation_xyz
'x,y,z'
loop_
_atom_site_label
_atom_site_type_symbol
_atom_site_fract_x
_atom_site_fract_y
_atom_site_fract_z
_atom_site_occupancy
Zr1 Zr 0.000 0.000 0.000 1
Cd1 Cd 0.250 0.250 0.250 1
Ag1 Ag 0.500 0.500 0.500 1
Ag2 Ag 0.750 0.750 0.750 1
```



[6]
Li2LaHg2: single point on PBEsol structure, SCAN.

Output
For the distance to the lowest polymorph of the same formula, the calculation gives 1.82 kcal/mol of atoms.

```
data_Li2LaHg2
_chemical_formula_sum 'Li4 La2 Hg4'
_cell_length_a 8.162
_cell_length_b 8.162
_cell_length_c 3.145
_cell_angle_alpha 90.00
_cell_angle_beta 90.00
_cell_angle_gamma 90.00
_space_group_name_H-M_alt 'P 1'
_space_group_IT_number 1
loop_
_space_group_symop_operation_xyz
'x,y,z'
loop_
_atom_site_label
_atom_site_type_symbol
_atom_site_fract_x
_atom_site_fract_y
_atom_site_fract_z
_atom_site_occupancy
Li1 Li 0.116 0.384 0.000 1
Li2 Li 0.384 0.884 0.000 1
Li3 Li 0.616 0.116 0.000 1
Li4 Li 0.884 0.616 0.000 1
La1 La 0.000 0.000 0.000 1
La2 La 0.500 0.500 0.000 1
Hg1 Hg 0.178 0.678 0.500 1
Hg2 Hg 0.322 0.178 0.500 1
Hg3 Hg 0.678 0.822 0.500 1
Hg4 Hg 0.822 0.322 0.500 1
```



[7]
Ni6SnSb: single point on PBEsol structure, SCAN.

Output
As for the uncorrected formation energy: -0.094 eV/atom.

```
data_Ni6SnSb
_chemical_formula_sum 'Ni6 Sn1 Sb1'
_cell_length_a 4.213
_cell_length_b 5.249
_cell_length_c 4.475
_cell_angle_alpha 90.00
_cell_angle_beta 90.00
_cell_angle_gamma 90.00
_space_group_name_H-M_alt 'P 1'
_space_group_IT_number 1
loop_
_space_group_symop_operation_xyz
'x,y,z'
loop_
_atom_site_label
_atom_site_type_symbol
_atom_site_fract_x
_atom_site_fract_y
_atom_site_fract_z
_atom_site_occupancy
Ni1 Ni 0.000 0.000 0.000 1
Ni2 Ni 0.000 0.248 0.482 1
Ni3 Ni 0.000 0.752 0.482 1
Ni4 Ni 0.500 0.247 0.142 1
Ni5 Ni 0.500 0.500 0.620 1
Ni6 Ni 0.500 0.753 0.142 1
Sn1 Sn 0.000 0.500 0.985 1
Sb1 Sb 0.500 0.000 0.639 1
```



[8]
SeSI2O: single point on PBEsol structure, SCAN.

Output
As for the uncorrected formation energy: 0.515 eV/atom.

```
data_SeSI2O
_chemical_formula_sum 'Se1 S1 I2 O1'
_cell_length_a 5.643
_cell_length_b 5.643
_cell_length_c 3.728
_cell_angle_alpha 90.00
_cell_angle_beta 90.00
_cell_angle_gamma 90.00
_space_group_name_H-M_alt 'P 1'
_space_group_IT_number 1
loop_
_space_group_symop_operation_xyz
'x,y,z'
loop_
_atom_site_label
_atom_site_type_symbol
_atom_site_fract_x
_atom_site_fract_y
_atom_site_fract_z
_atom_site_occupancy
Se1 Se 0.000 0.000 0.000 1
S1 S 0.500 0.500 0.500 1
I1 I 0.000 0.500 0.000 1
I2 I 0.500 0.000 0.000 1
O1 O 0.000 0.000 0.500 1
```



[9]
Be24Cr5: single point on PBEsol structure, SCAN.

Output
The calculation puts the total energy at -6.851 eV per atom.

```
data_Be24Cr5
_chemical_formula_sum 'Be24 Cr5'
_cell_length_a 6.825
_cell_length_b 6.825
_cell_length_c 6.825
_cell_angle_alpha 109.47
_cell_angle_beta 109.47
_cell_angle_gamma 109.47
_space_group_name_H-M_alt 'P 1'
_space_group_IT_number 1
loop_
_space_group_symop_operation_xyz
'x,y,z'
loop_
_atom_site_label
_atom_site_type_symbol
_atom_site_fract_x
_atom_site_fract_y
_atom_site_fract_z
_atom_site_occupancy
Be1 Be 0.000 0.190 0.372 1
Be2 Be 0.000 0.372 0.190 1
Be3 Be 0.000 0.386 0.686 1
Be4 Be 0.000 0.686 0.386 1
Be5 Be 0.183 0.810 0.810 1
Be6 Be 0.190 0.000 0.372 1
Be7 Be 0.190 0.372 0.000 1
Be8 Be 0.300 0.614 0.614 1
Be9 Be 0.314 0.314 0.700 1
Be10 Be 0.314 0.700 0.314 1
Be11 Be 0.372 0.000 0.190 1
Be12 Be 0.372 0.190 0.000 1
Be13 Be 0.386 0.000 0.686 1
Be14 Be 0.386 0.686 0.000 1
Be15 Be 0.614 0.300 0.614 1
Be16 Be 0.614 0.614 0.300 1
Be17 Be 0.628 0.628 0.817 1
Be18 Be 0.628 0.817 0.628 1
Be19 Be 0.686 0.000 0.386 1
Be20 Be 0.686 0.386 0.000 1
Be21 Be 0.700 0.314 0.314 1
Be22 Be 0.810 0.183 0.810 1
Be23 Be 0.810 0.810 0.183 1
Be24 Be 0.817 0.628 0.628 1
Cr1 Cr 0.000 0.000 0.000 1
Cr2 Cr 0.000 0.000 0.629 1
Cr3 Cr 0.000 0.629 0.000 1
Cr4 Cr 0.371 0.371 0.371 1
Cr5 Cr 0.629 0.000 0.000 1
```



[10]
Cd2AgPb: single point on PBEsol structure, SCAN.

Output
The calculation puts the total energy at -41.927 eV per atom.

```
data_Cd2AgPb
_chemical_formula_sum 'Cd2 Ag1 Pb1'
_cell_length_a 5.049
_cell_length_b 5.049
_cell_length_c 5.607
_cell_angle_alpha 101.17
_cell_angle_beta 101.17
_cell_angle_gamma 39.32
_space_group_name_H-M_alt 'P 1'
_space_group_IT_number 1
loop_
_space_group_symop_operation_xyz
'x,y,z'
loop_
_atom_site_label
_atom_site_type_symbol
_atom_site_fract_x
_atom_site_fract_y
_atom_site_fract_z
_atom_site_occupancy
Cd1 Cd 0.000 0.000 0.000 1
Cd2 Cd 0.749 0.749 0.223 1
Ag1 Ag 0.489 0.489 0.431 1
Pb1 Pb 0.238 0.238 0.701 1
```



[11]
PC: single point on PBEsol structure, SCAN.

Output
For the distance to the lowest polymorph of the same formula, the calculation gives 2.62 kcal/mol of atoms.

```
data_PC
_chemical_formula_sum 'P2 C2'
_cell_length_a 2.852
_cell_length_b 2.852
_cell_length_c 5.046
_cell_angle_alpha 90.00
_cell_angle_beta 90.00
_cell_angle_gamma 120.00
_space_group_name_H-M_alt 'P 1'
_space_group_IT_number 1
loop_
_space_group_symop_operation_xyz
'x,y,z'
loop_
_atom_site_label
_atom_site_type_symbol
_atom_site_fract_x
_atom_site_fract_y
_atom_site_fract_z
_atom_site_occupancy
P1 P 0.000 0.000 0.000 1
P2 P 0.000 0.000 0.500 1
C1 C 0.333 0.667 0.250 1
C2 C 0.667 0.333 0.750 1
```



[12]
SrTeMo2: single point on PBEsol structure, SCAN.

Output
As for the uncorrected formation energy: 0.974 eV/atom.

```
data_SrTeMo2
_chemical_formula_sum 'Sr1 Te1 Mo2'
_cell_length_a 9.547
_cell_length_b 9.547
_cell_length_c 9.547
_cell_angle_alpha 19.44
_cell_angle_beta 19.44
_cell_angle_gamma 19.44
_space_group_name_H-M_alt 'P 1'
_space_group_IT_number 1
loop_
_space_group_symop_operation_xyz
'x,y,z'
loop_
_atom_site_label
_atom_site_type_symbol
_atom_site_fract_x
_atom_site_fract_y
_atom_site_fract_z
_atom_site_occupancy
Sr1 Sr 0.000 0.000 0.000 1
Te1 Te 0.500 0.500 0.500 1
Mo1 Mo 0.237 0.237 0.237 1
Mo2 Mo 0.763 0.763 0.763 1
```



no.,volume (Å³ per cell)
1,56
2,105
3,159
4,128
5,73
6,210
7,99
8,119
9,245
10,89
11,36
12,84